(1)
Crystalline SnBrN2O at its relaxed geometry. Source: the Alexandria database, functional GGA-PBEsol.

## Properties
The calculation puts the energy relative to the elements, uncorrected at 6.80 eV per formula unit. For the density, the calculation gives 6.46 g cm⁻³.

abc: 3.9409 3.9793 3.9793
angles: 90.00 90.00 90.00
Positions (direct):
N 0.0000 0.0000 0.5000
N 0.0000 0.5000 0.0000
O 0.5000 0.0000 0.0000
Sn 0.5000 0.5000 0.5000
Br 0.0000 0.0000 0.0000

---

(2)
Crystalline BeNi2Au at its relaxed geometry. Source: the Alexandria database, functional GGA-PBEsol.

## Properties
The formation energy from the elements is -0.0661 eV per atom. For the density, the calculation gives 11.66 g cm⁻³.

abc: 3.5400 3.5400 4.4467
angles: 113.46 113.46 90.00
Positions (direct):
Au 0.5000 0.5000 0.0000
Ni 0.2500 0.7500 0.5000
Ni 0.7500 0.2500 0.5000
Be 0.0000 0.0000 0.0000

---

(3)
Crystalline P2OsRu at its relaxed geometry. Source: the Alexandria database, functional GGA-PBEsol.

## Properties
The value obtained for the energy above the most stable polymorph in this dataset is 0.122 eV per formula unit. The formation energy from the elements is -0.2048 eV per atom. For the density, the calculation gives 11.41 g cm⁻³.

abc: 2.8551 2.8551 7.4693
angles: 78.98 78.98 60.00
Positions (direct):
P 0.7508 0.7508 0.7477
P 0.2492 0.2492 0.2523
Os 0.0000 0.0000 0.0000
Ru 0.5000 0.5000 0.5000

---

(4)
Crystalline ErSiRh at its relaxed geometry. Source: the Alexandria database, functional GGA-PBEsol.

## Properties
The calculation puts the energy relative to the elements, uncorrected at -3.36 eV per formula unit. For the density, the calculation gives 9.66 g cm⁻³.

abc: 4.1801 6.7631 7.2554
angles: 90.00 90.00 90.00
Positions (direct):
Er 0.7500 0.0009 0.8111
Er 0.7500 0.5009 0.6889
Er 0.2500 0.9991 0.1889
Er 0.2500 0.4991 0.3111
Rh 0.2500 0.1542 0.5686
Rh 0.7500 0.8458 0.4314
Rh 0.7500 0.3458 0.0686
Rh 0.2500 0.6542 0.9314
Si 0.7500 0.7051 0.1064
Si 0.7500 0.2051 0.3936
Si 0.2500 0.7949 0.6064
Si 0.2500 0.2949 0.8936

---

(5)
Crystalline CaMg2 at its relaxed geometry. Source: the Alexandria database, functional GGA-PBEsol.

## Properties
The formation energy from the elements is 0.1986 eV per atom. For the density, the calculation gives 1.52 g cm⁻³.

abc: 4.1648 4.1648 5.6033
angles: 90.00 90.00 90.00
Positions (direct):
Mg 0.5000 0.0000 0.5000
Mg 0.0000 0.5000 0.5000
Ca 0.0000 0.0000 0.0000

---

(6)
Crystalline KTcSb2 at its relaxed geometry. Source: the Alexandria database, functional GGA-PBEsol.

## Properties
The value obtained for the energy above the most stable polymorph in this dataset is 0.787 eV per formula unit. The calculation puts the energy relative to the elements, uncorrected at 0.11 eV per formula unit. For the density, the calculation gives 6.15 g cm⁻³.

abc: 3.3047 4.4550 7.6208
angles: 98.66 90.00 111.77
Last column: magnetic moment on the atom in μB.
Positions (direct):
Tc 0.0000 0.0000 0.5000  0.69
Sb 0.7291 0.4582 0.6719  0.01
Sb 0.2709 0.5418 0.3281  0.01
K 0.5000 0.0000 0.0000  0.00